(1)
Computed, not measured: an optimized crystal structure of FeB2Mo4 at the PBE level of DFT.

a b c (Å): 3.0339 3.0339 34.5966
angles (deg): 90.00 90.00 120.00
Space group R-3m (No. 166, hexagonal axes)
Unique sites:
1 Fe 0.0000 0.0000 0.0000 (multiplicity 3)
2 B 0.0000 0.0000 0.0960 (multiplicity 6)
3 Mo 0.0000 0.0000 0.2009 (multiplicity 6)
4 Mo 0.0000 0.0000 0.3924 (multiplicity 6)

Results
- E: -195.1 eV/cell
- Energy of formation: 0.1 eV per formula unit
- Total magnetization: 2.03 μB/f.u.

***

(2)
Computed, not measured: an optimized crystal structure of FeB4Mo at the PBE level of DFT.

a b c (Å): 5.770 11.171 3.089
angles (deg): 90.00 90.00 90.00
Space group Pbam (No. 55)
Unique sites:
1 Fe 0.136 0.088 0.000 (multiplicity 4)
2 B 0.005 0.803 0.500 (multiplicity 4)
3 B 0.116 0.950 0.500 (multiplicity 4)
4 B 0.128 0.529 0.500 (multiplicity 4)
5 B 0.191 0.685 0.500 (multiplicity 4)
6 Mo 0.176 0.332 0.000 (multiplicity 4)

Results
- E: -187.6 eV/cell
- Energy of formation: -0.9 eV per formula unit
- Total magnetization: 0.00 μB/f.u.

***

Question: Which value of total magnetization does entry 2 give?
Answer: 0.00 μB/f.u.

***

Question: Number 2 is which compound?
Answer: FeB4Mo

***

Copy entry 2 word for word.
Computed, not measured: an optimized crystal structure of FeB4Mo at the PBE level of DFT.

a b c (Å): 5.770 11.171 3.089
angles (deg): 90.00 90.00 90.00
Space group Pbam (No. 55)
Unique sites:
1 Fe 0.136 0.088 0.000 (multiplicity 4)
2 B 0.005 0.803 0.500 (multiplicity 4)
3 B 0.116 0.950 0.500 (multiplicity 4)
4 B 0.128 0.529 0.500 (multiplicity 4)
5 B 0.191 0.685 0.500 (multiplicity 4)
6 Mo 0.176 0.332 0.000 (multiplicity 4)

Results
- E: -187.6 eV/cell
- Energy of formation: -0.9 eV per formula unit
- Total magnetization: 0.00 μB/f.u.

***

What did the second record say?
Computed, not measured: an optimized crystal structure of FeB4Mo at the PBE level of DFT.

a b c (Å): 5.770 11.171 3.089
angles (deg): 90.00 90.00 90.00
Space group Pbam (No. 55)
Unique sites:
1 Fe 0.136 0.088 0.000 (multiplicity 4)
2 B 0.005 0.803 0.500 (multiplicity 4)
3 B 0.116 0.950 0.500 (multiplicity 4)
4 B 0.128 0.529 0.500 (multiplicity 4)
5 B 0.191 0.685 0.500 (multiplicity 4)
6 Mo 0.176 0.332 0.000 (multiplicity 4)

Results
- E: -187.6 eV/cell
- Energy of formation: -0.9 eV per formula unit
- Total magnetization: 0.00 μB/f.u.